(1)
Entry from the Alexandria database: a PBEsol-optimized structure of LiHgPS2 (SCAN).

Cell: 4.3361 4.3361 4.6592 Å, 90.00 90.00 90.00°
Fractional positions:
Li1 0.0000 0.0000 0.0000
Hg1 0.5000 0.5000 0.5000
P1 0.0000 0.0000 0.5000
S1 0.0000 0.5000 0.0000
S2 0.5000 0.0000 0.0000

Computed properties:
For the energy relative to the elements, uncorrected, the calculation gives 661.3 meV per atom. The symmetry is P4/mmm. The calculation puts the total DFT energy (no corrections) at -19.381 eV/atom. The calculation puts the total moment at 0.00 μB per cell. The calculated volume comes out at 87.6 Å³/cell.

=====

(2)
Entry from the Alexandria database: a PBEsol-optimized structure of LiHg2Pb (SCAN).

Cell: 4.4349 4.4349 4.5658 Å, 90.00 90.00 90.00°
Fractional positions:
Li1 0.0000 0.0000 0.0000
Hg1 0.0000 0.5000 0.5000
Hg2 0.5000 0.0000 0.5000
Pb1 0.5000 0.5000 0.0000

Computed properties:
The value obtained for the formation enthalpy at 0 K is -164 meV/atom. The symmetry is P4/mmm. The calculation puts the total DFT energy (no corrections) at -53.790 eV/atom. The calculation puts the total moment at 0.00 μB per cell. The calculated volume comes out at 89.8 Å³/cell.

=====

(3)
Entry from the Alexandria database: a PBEsol-optimized structure of LiHg2Pb (SCAN).

Cell: 9.6808 3.3936 5.6840 Å, 90.00 102.12 90.00°
Fractional positions:
Li1 0.0000 0.0000 0.0000
Li2 0.5000 0.5000 0.0000
Hg1 0.2357 0.5000 0.2170
Hg2 0.2643 0.0000 0.7830
Hg3 0.7357 0.0000 0.2170
Hg4 0.7643 0.5000 0.7830
Pb1 0.0000 0.5000 0.5000
Pb2 0.5000 0.0000 0.5000

Computed properties:
The value obtained for the formation enthalpy at 0 K is -199 meV/atom. The symmetry is C2/m. The calculation puts the total DFT energy (no corrections) at -53.825 eV/atom. The calculation puts the total moment at 0.00 μB per cell. The calculated volume comes out at 182.6 Å³/cell.

=====

(4)
Entry from the Alexandria database: a PBEsol-optimized structure of LiHgPb3 (SCAN).

Cell: 5.1281 5.1281 5.1281 Å, 90.00 90.00 90.00°
Fractional positions:
Li1 0.0000 0.0000 0.0000
Hg1 0.5000 0.5000 0.5000
Pb1 0.0000 0.0000 0.5000
Pb2 0.0000 0.5000 0.0000
Pb3 0.5000 0.0000 0.0000

Computed properties:
The value obtained for the formation enthalpy at 0 K is 85 meV/atom. For the energy above the most stable polymorph in this dataset, the calculation gives 0.000 eV per atom. The symmetry is Pm-3m. The calculation puts the total DFT energy (no corrections) at -59.495 eV/atom. The calculation puts the total moment at 0.00 μB per cell. The calculated volume comes out at 134.9 Å³/cell.

=====

(5)
Entry from the Alexandria database: a PBEsol-optimized structure of LiHg2Pb (SCAN).

Cell: 4.4446 4.4446 9.1151 Å, 90.00 90.00 90.00°
Fractional positions:
Li1 0.0000 0.0000 0.0000
Li2 0.5000 0.5000 0.5000
Hg1 0.0000 0.5000 0.2500
Hg2 0.0000 0.5000 0.7500
Hg3 0.5000 0.0000 0.2500
Hg4 0.5000 0.0000 0.7500
Pb1 0.0000 0.0000 0.5000
Pb2 0.5000 0.5000 0.0000

Computed properties:
The value obtained for the formation enthalpy at 0 K is -176 meV/atom. The symmetry is I4/mmm. The calculation puts the total DFT energy (no corrections) at -53.801 eV/atom. The calculation puts the total moment at 0.00 μB per cell. The calculated volume comes out at 180.1 Å³/cell.

=====

(6)
Entry from the Alexandria database: a PBEsol-optimized structure of LiHg2Pb (SCAN).

Cell: 3.3616 3.3616 28.2532 Å, 90.00 90.00 120.00°
Fractional positions:
Li1 0.0000 0.0000 0.0000
Li2 0.3333 0.6667 0.6667
Li3 0.6667 0.3333 0.3333
Hg1 0.0000 0.0000 0.2619
Hg2 0.0000 0.0000 0.7381
Hg3 0.3333 0.6667 0.4048
Hg4 0.3333 0.6667 0.9285
Hg5 0.6667 0.3333 0.0715
Hg6 0.6667 0.3333 0.5952
Pb1 0.0000 0.0000 0.5000
Pb2 0.3333 0.6667 0.1667
Pb3 0.6667 0.3333 0.8333

Computed properties:
The value obtained for the formation enthalpy at 0 K is -193 meV/atom. The symmetry is R-3m. The calculation puts the total DFT energy (no corrections) at -53.819 eV/atom. The calculation puts the total moment at 0.00 μB per cell. The calculated volume comes out at 276.5 Å³/cell.

=====

(7)
Entry from the Alexandria database: a PBEsol-optimized structure of LiHg2Pb (SCAN).

Cell: 3.4129 4.7522 5.7012 Å, 90.00 90.00 90.00°
Fractional positions:
Li1 0.0000 0.0000 0.0000
Hg1 0.5000 0.0000 0.5860
Hg2 0.5000 0.5000 0.8996
Pb1 0.0000 0.5000 0.3704

Computed properties:
The value obtained for the formation enthalpy at 0 K is -178 meV/atom. The symmetry is Pmm2. The calculation puts the total DFT energy (no corrections) at -53.803 eV/atom. The calculation puts the total moment at 0.00 μB per cell. The calculated volume comes out at 92.5 Å³/cell.

=====

(8)
Entry from the Alexandria database: a PBEsol-optimized structure of Li2HgPb (SCAN).

Cell: 4.4923 4.4923 8.0711 Å, 90.00 90.00 90.00°
Fractional positions:
Li1 0.0000 0.0000 0.0000
Li2 0.0000 0.5000 0.2500
Li3 0.5000 0.0000 0.7500
Li4 0.5000 0.5000 0.5000
Hg1 0.0000 0.5000 0.7500
Hg2 0.5000 0.0000 0.2500
Pb1 0.0000 0.0000 0.5000
Pb2 0.5000 0.5000 0.0000

Computed properties:
The value obtained for the formation enthalpy at 0 K is -357 meV/atom. The symmetry is I-4m2. The calculation puts the total DFT energy (no corrections) at -37.538 eV/atom. The calculation puts the total moment at 0.00 μB per cell. The calculated volume comes out at 162.9 Å³/cell.

=====

(9)
Entry from the Alexandria database: a PBEsol-optimized structure of LiHg2Pb (SCAN).

Cell: 9.5827 3.4716 5.5909 Å, 90.00 101.18 90.00°
Fractional positions:
Li1 0.0000 0.0000 0.0000
Li2 0.5000 0.5000 0.0000
Hg1 0.0123 0.5000 0.5671
Hg2 0.2636 0.0000 0.8102
Hg3 0.5123 0.0000 0.5671
Hg4 0.7636 0.5000 0.8102
Pb1 0.2547 0.5000 0.2790
Pb2 0.7547 0.0000 0.2790

Computed properties:
The value obtained for the formation enthalpy at 0 K is -164 meV/atom. The symmetry is Cm. The calculation puts the total DFT energy (no corrections) at -53.789 eV/atom. The calculation puts the total moment at 0.00 μB per cell. The calculated volume comes out at 182.5 Å³/cell.

=====

(10)
Entry from the Alexandria database: a PBEsol-optimized structure of Li2HgPb (SCAN).

Cell: 3.4224 4.7005 10.1286 Å, 90.00 90.00 90.00°
Fractional positions:
Li1 0.0000 0.0000 0.0000
Li2 0.0000 0.5000 0.2416
Li3 0.5000 0.0000 0.7416
Li4 0.5000 0.5000 0.5000
Hg1 0.0000 0.5000 0.7165
Hg2 0.5000 0.0000 0.2165
Pb1 0.0000 0.0000 0.4775
Pb2 0.5000 0.5000 0.9775

Computed properties:
The value obtained for the formation enthalpy at 0 K is -350 meV/atom. The symmetry is Imm2. The calculation puts the total DFT energy (no corrections) at -37.532 eV/atom. The calculation puts the total moment at 0.00 μB per cell. The calculated volume comes out at 162.9 Å³/cell.

=====

(11)
Entry from the Alexandria database: a PBEsol-optimized structure of Li2HgPb (SCAN).

Cell: 4.8051 4.8051 3.3370 Å, 90.00 90.00 90.00°
Fractional positions:
Li1 0.0000 0.5000 0.0000
Li2 0.5000 0.0000 0.0000
Hg1 0.0000 0.0000 0.5000
Pb1 0.5000 0.5000 0.5000

Computed properties:
The value obtained for the formation enthalpy at 0 K is -406 meV/atom. The symmetry is P4/mmm. The calculation puts the total DFT energy (no corrections) at -37.588 eV/atom. The calculation puts the total moment at 0.00 μB per cell. The calculated volume comes out at 77.0 Å³/cell.

=====

(12)
Entry from the Alexandria database: a PBEsol-optimized structure of LiHg2Pb (SCAN).

Cell: 3.6302 3.6302 6.8673 Å, 90.00 90.00 90.00°
Fractional positions:
Li1 0.0000 0.0000 0.0000
Hg1 0.0000 0.0000 0.4310
Hg2 0.5000 0.5000 0.1819
Pb1 0.5000 0.5000 0.7180

Computed properties:
The value obtained for the formation enthalpy at 0 K is -179 meV/atom. The symmetry is P4mm. The calculation puts the total DFT energy (no corrections) at -53.805 eV/atom. The calculation puts the total moment at 0.00 μB per cell. The calculated volume comes out at 90.5 Å³/cell.

=====

(13)
Entry from the Alexandria database: a PBEsol-optimized structure of Li2HgPb (SCAN).

Cell: 3.3530 3.3530 6.9140 Å, 90.00 90.00 90.00°
Fractional positions:
Li1 0.0000 0.0000 0.2247
Li2 0.0000 0.0000 0.7753
Hg1 0.5000 0.5000 0.0000
Pb1 0.5000 0.5000 0.5000

Computed properties:
The value obtained for the formation enthalpy at 0 K is -424 meV/atom. The symmetry is P4/mmm. The calculation puts the total DFT energy (no corrections) at -37.606 eV/atom. The calculation puts the total moment at 0.00 μB per cell. The calculated volume comes out at 77.7 Å³/cell.

=====

(14)
Entry from the Alexandria database: a PBEsol-optimized structure of LiHg2Pb (SCAN).

Cell: 3.3504 5.2274 10.2311 Å, 90.00 90.00 90.00°
Fractional positions:
Li1 0.0000 0.0000 0.0000
Li2 0.5000 0.5000 0.5000
Hg1 0.0000 0.5000 0.2838
Hg2 0.0000 0.5000 0.7162
Hg3 0.5000 0.0000 0.2162
Hg4 0.5000 0.0000 0.7838
Pb1 0.0000 0.0000 0.5000
Pb2 0.5000 0.5000 0.0000

Computed properties:
The value obtained for the formation enthalpy at 0 K is -188 meV/atom. The symmetry is Immm. The calculation puts the total DFT energy (no corrections) at -53.814 eV/atom. The calculation puts the total moment at 0.00 μB per cell. The calculated volume comes out at 179.2 Å³/cell.

=====

(15)
Entry from the Alexandria database: a PBEsol-optimized structure of LiHg2Pb (SCAN).

Cell: 4.4747 4.4747 9.0664 Å, 90.00 90.00 90.00°
Fractional positions:
Li1 0.0000 0.0000 0.0000
Li2 0.5000 0.5000 0.5000
Hg1 0.0000 0.0000 0.5000
Hg2 0.0000 0.5000 0.7500
Hg3 0.5000 0.0000 0.2500
Hg4 0.5000 0.5000 0.0000
Pb1 0.0000 0.5000 0.2500
Pb2 0.5000 0.0000 0.7500

Computed properties:
The value obtained for the formation enthalpy at 0 K is -158 meV/atom. The symmetry is I-4m2. The calculation puts the total DFT energy (no corrections) at -53.784 eV/atom. The calculation puts the total moment at 0.00 μB per cell. The calculated volume comes out at 181.5 Å³/cell.